Compound: Be2AlBr
Source: Alexandria
Functional: PBEsol
Structure: optimized geometry

```
Be2AlBr
1.0
1.568 -2.776 0.000
1.568 2.776 0.000
0.000 0.000 7.406
Be Al Br
2 1 1
direct
0.000 0.000 0.250 Be
0.000 0.000 0.750 Be
0.500 0.500 0.000 Al
0.500 0.500 0.500 Br
```

Summary:
- E_form (uncorrected): 0.55 eV per atom
- Offset from the most stable computed form: 449 meV/atom
- Total DFT energy (no corrections): -2.94 eV per atom
- DOS at the Fermi energy: 1.44 states/eV per cell